Computed, not measured: a PBEsol-optimized structure of MnAlSb2I at the SCAN level of DFT.

Output
The energy relative to the elements, uncorrected is 0.46 eV per atom. The volume comes out at 138.4 Å³ per cell. Its symmetry is P4/mmm, No. 123. The value obtained for the total energy is -134.96 eV per formula unit.

abc: 4.9276 4.9276 5.6985
angles: 90.00 90.00 90.00
Site moments in Bohr magnetons follow the coordinates.
Atoms (fractional coordinates):
I: 0.0000 0.0000 0.5000  -0.11
Sb: 0.5000 0.0000 0.0000  -0.18
Sb: 0.0000 0.5000 0.0000  -0.18
Al: 0.5000 0.5000 0.5000  0.01
Mn: 0.0000 0.0000 0.0000  3.34

Computed, not measured: a PBEsol-optimized structure of BeCrBi3 at the SCAN level of DFT.

Output
The volume comes out at 127.9 Å³ per cell. Its symmetry is Pm-3m, No. 221. The energy relative to the elements comes out at 0.68 eV/atom. The value obtained for the total energy is -255.08 eV per formula unit.

abc: 5.0385 5.0385 5.0385
angles: 90.00 90.00 90.00
Site moments in Bohr magnetons follow the coordinates.
Atoms (fractional coordinates):
Cr: 0.5000 0.5000 0.5000  4.24
Bi: 0.0000 0.5000 0.0000  -0.04
Be: 0.0000 0.0000 0.0000  0.04
Bi: 0.5000 0.0000 0.0000  -0.04
Bi: 0.0000 0.0000 0.5000  -0.04

Computed, not measured: a PBEsol-optimized structure of La2SiRu at the SCAN level of DFT.

Output
The energy relative to the elements, uncorrected is -0.58 eV per atom. The volume comes out at 95.3 Å³ per cell. Its symmetry is Amm2, No. 38. The value obtained for the total energy is -133.36 eV per formula unit.

abc: 3.8262 4.3811 6.0947
angles: 111.06 90.00 90.00
Atoms (fractional coordinates):
Si: 0.5000 0.5606 0.1212
La: 0.0000 0.9724 0.9448
Ru: 0.0000 0.6944 0.3889
La: 0.5000 0.2487 0.4974

Computed, not measured: a PBEsol-optimized structure of Hg3Se2Cl2 at the SCAN level of DFT.

Output
The energy relative to the elements, uncorrected is -0.48 eV per atom. The volume comes out at 370.6 Å³ per cell. Its symmetry is I2_13, No. 199. The value obtained for the total energy is -263.96 eV per formula unit.

abc: 7.8375 7.8375 7.8375
angles: 109.47 109.47 109.47
Atoms (fractional coordinates):
Hg: 0.8114 0.0614 0.7500
Cl: 0.5271 0.0000 0.0000
Se: 0.0000 0.5000 0.5524
Se: 0.4476 0.4476 0.9476
Cl: 0.5000 0.5271 0.5000
Se: 0.5000 0.0524 0.5000
Hg: 0.7500 0.6886 0.9386
Hg: 0.0614 0.2500 0.3114
Cl: 0.0000 0.5000 0.0271
Hg: 0.2500 0.8114 0.5614
Hg: 0.6886 0.4386 0.2500
Se: 0.0524 0.0000 0.0000
Hg: 0.4386 0.7500 0.1886
Cl: 0.9729 0.9729 0.4729

Computed, not measured: a PBEsol-optimized structure of Ca2LaRh at the SCAN level of DFT.

Output
The volume comes out at 119.8 Å³ per cell. Its symmetry is Cmm2, No. 35. The energy relative to the elements comes out at -0.33 eV/atom. The value obtained for the total energy is -97.53 eV per formula unit. Its relative energy among the computed polymorphs is 0.052 eV/atom.

abc: 3.5346 3.5346 9.5860
angles: 90.00 90.00 90.14
Atoms (fractional coordinates):
La: 0.0000 0.0000 0.4169
Ca: 0.0000 0.0000 0.0718
Ca: 0.5000 0.5000 0.7488
Rh: 0.5000 0.5000 0.2625

Computed, not measured: a PBEsol-optimized structure of ScCo2Te at the SCAN level of DFT.

Output
The energy relative to the elements, uncorrected is 0.09 eV per atom. The volume comes out at 61.0 Å³ per cell. Its symmetry is F-43m, No. 216. The value obtained for the total energy is -85.74 eV per formula unit. Its relative energy among the computed polymorphs is 0.264 eV/atom.

abc: 4.4179 4.4179 4.4179
angles: 60.00 60.00 60.00
Site moments in Bohr magnetons follow the coordinates.
Atoms (fractional coordinates):
Co: 0.0000 0.0000 0.0000  1.19
Te: 0.2500 0.2500 0.2500  0.05
Co: 0.7500 0.7500 0.7500  1.87
Sc: 0.5000 0.5000 0.5000  -0.08

Computed, not measured: a PBEsol-optimized structure of Mg2RhSe at the SCAN level of DFT.

Output
The energy relative to the elements, uncorrected is -0.45 eV per atom. The volume comes out at 72.9 Å³ per cell. Its symmetry is R-3m, No. 166. The value obtained for the total energy is -65.61 eV per formula unit.

abc: 3.4337 3.4337 7.4072
angles: 76.60 76.60 60.00
Atoms (fractional coordinates):
Mg: 0.7495 0.7495 0.7516
Rh: 0.5000 0.5000 0.5000
Se: 0.0000 0.0000 0.0000
Mg: 0.2505 0.2505 0.2484

Computed, not measured: a PBEsol-optimized structure of Ti3TeP at the SCAN level of DFT.

Output
The energy relative to the elements, uncorrected is 0.81 eV per atom. The volume comes out at 120.9 Å³ per cell. Its symmetry is Pm-3m, No. 221. The value obtained for the total energy is -91.68 eV per formula unit.

abc: 4.9444 4.9444 4.9444
angles: 90.00 90.00 90.00
Site moments in Bohr magnetons follow the coordinates.
Atoms (fractional coordinates):
Ti: 0.0000 0.5000 0.0000  1.65
Ti: 0.0000 0.0000 0.5000  1.65
Te: 0.0000 0.0000 0.0000  -0.02
P: 0.5000 0.5000 0.5000  -0.15
Ti: 0.5000 0.0000 0.0000  1.65

Computed, not measured: a PBEsol-optimized structure of TcHOsW2 at the SCAN level of DFT.

Output
The volume comes out at 61.3 Å³ per cell. Its symmetry is P4/mmm, No. 123. The value obtained for the total energy is -249.03 eV per formula unit.

abc: 3.8722 3.9796 3.9796
angles: 90.00 90.00 90.00
Atoms (fractional coordinates):
H: 0.0000 0.0000 0.0000
W: 0.0000 0.0000 0.5000
W: 0.0000 0.5000 0.0000
Tc: 0.5000 0.0000 0.0000
Os: 0.5000 0.5000 0.5000

Computed, not measured: a PBEsol-optimized structure of CdTe at the SCAN level of DFT.

Output
The energy relative to the elements, uncorrected is -0.25 eV per atom. The volume comes out at 116.5 Å³ per cell. Its symmetry is Cmcm, No. 63. The value obtained for the total energy is -68.16 eV per formula unit.

abc: 4.0703 4.1046 7.2619
angles: 89.98 106.28 90.00
Atoms (fractional coordinates):
Te: 0.8800 0.7498 0.7601
Cd: 0.3290 0.2498 0.6579
Cd: 0.6710 0.7502 0.3421
Te: 0.1200 0.2502 0.2399

Computed, not measured: a PBEsol-optimized structure of PbCN3 at the SCAN level of DFT.

Output
The energy relative to the elements, uncorrected is 3.49 eV per atom. The volume comes out at 82.5 Å³ per cell. Its symmetry is Pm-3m, No. 221. The value obtained for the total energy is -96.31 eV per formula unit.

abc: 4.3526 4.3526 4.3526
angles: 90.00 90.00 90.00
Site moments in Bohr magnetons follow the coordinates.
Atoms (fractional coordinates):
N: 0.0000 0.5000 0.0000  1.18
C: 0.5000 0.5000 0.5000  -0.88
N: 0.0000 0.0000 0.5000  1.18
Pb: 0.0000 0.0000 0.0000  -0.10
N: 0.5000 0.0000 0.0000  1.18

Computed, not measured: a PBEsol-optimized structure of NaTl2Cd2 at the SCAN level of DFT.

Output
The volume comes out at 262.2 Å³ per cell. Its symmetry is P4/mbm, No. 127. The energy relative to the elements comes out at -0.02 eV/atom. The value obtained for the total energy is -209.87 eV per formula unit.

abc: 3.5010 8.6547 8.6547
angles: 90.00 90.00 90.00
Atoms (fractional coordinates):
Cd: 0.5000 0.6500 0.8500
Tl: 0.0000 0.1472 0.3528
Tl: 0.0000 0.6472 0.1472
Tl: 0.0000 0.8528 0.6472
Na: 0.0000 0.0000 0.0000
Cd: 0.5000 0.3500 0.1500
Na: 0.0000 0.5000 0.5000
Tl: 0.0000 0.3528 0.8528
Cd: 0.5000 0.1500 0.6500
Cd: 0.5000 0.8500 0.3500